Record 1
Compound: CoHgAs
Source: the Alexandria database
Functional: PBE
Structure: optimized geometry

Results
formation energy from the elements = 0.83 eV per formula unit
space group = F-43m (216)
polymorph energy (0 for the lowest one) = 180.0 meV per atom

Unit cell a=4.2538 b=4.2538 c=4.2538 alpha=60.00 beta=60.00 gamma=60.00
With the nearest neighbours (Å) after each atom.
Fractional coordinates of all 3 atoms:
Co1 0.0000 0.0000 0.0000  4 Hg 2.60, 4 As 2.60
Hg1 0.7500 0.7500 0.7500  4 Co 2.60
As1 0.2500 0.2500 0.2500  4 Co 2.60

Record 2
Compound: Co2Hg2As
Source: the Alexandria database
Functional: PBE
Structure: optimized geometry

Results
formation energy from the elements = 2.88 eV per formula unit
space group = P4/mbm (127)
polymorph energy (0 for the lowest one) = 320.9 meV per atom

Unit cell a=8.0413 b=8.0413 c=2.7894 alpha=90.00 beta=90.00 gamma=90.00
With the nearest neighbours (Å) after each atom.
Fractional coordinates of all 10 atoms:
Co1 0.0998 0.4002 0.0000  1 Co 2.27
Co2 0.4002 0.9002 0.0000  1 Co 2.27
Co3 0.5998 0.0998 0.0000  1 Co 2.27
Co4 0.9002 0.5998 0.0000  1 Co 2.27
Hg1 0.1897 0.6897 0.5000  6 Co 2.77-2.81, 2 Hg 2.79, 2 As 2.92
Hg2 0.3103 0.1897 0.5000  6 Co 2.77-2.81, 2 Hg 2.79, 2 As 2.92
Hg3 0.6897 0.8103 0.5000  6 Co 2.77-2.81, 2 Hg 2.79, 2 As 2.92
Hg4 0.8103 0.3103 0.5000  6 Co 2.77-2.81, 2 Hg 2.79, 2 As 2.92
As1 0.0000 0.0000 0.5000  2 As 2.79, 4 Hg 2.92
As2 0.5000 0.5000 0.5000  2 As 2.79, 4 Hg 2.92

Record 3
Compound: CoHgAs
Source: the Alexandria database
Functional: PBE
Structure: optimized geometry

Results
formation energy from the elements = 0.33 eV per formula unit
space group = I4mm (107)
polymorph energy (0 for the lowest one) = 14.6 meV per atom

Unit cell a=6.6466 b=6.6466 c=6.6466 alpha=154.71 beta=154.71 gamma=36.06
With the nearest neighbours (Å) after each atom.
Fractional coordinates of all 3 atoms:
Co1 0.0000 0.0000 0.0000  4 As 2.44
Hg1 0.3409 0.3409 0.0000  4 Co 2.88, 4 Hg 2.91
As1 0.6032 0.6032 0.0000  4 Co 2.44

Record 4
Compound: Co2HgAs
Source: the Alexandria database
Functional: PBE
Structure: optimized geometry

Results
formation energy from the elements = 0.65 eV per formula unit
space group = R-3m (166)
polymorph energy (0 for the lowest one) = 0.0 meV per atom

Unit cell a=5.6026 b=5.6026 c=5.6026 alpha=38.77 beta=38.77 gamma=38.77
With the nearest neighbours (Å) after each atom.
Fractional coordinates of all 4 atoms:
Co1 0.2205 0.2205 0.2205  3 As 2.30
Co2 0.7795 0.7795 0.7795  3 As 2.30
Hg1 0.0000 0.0000 0.0000  6 Co 2.77
As1 0.5000 0.5000 0.5000  6 Co 2.30

Record 5
Compound: Co2HgAs
Source: the Alexandria database
Functional: PBE
Structure: optimized geometry

Results
formation energy from the elements = 0.75 eV per formula unit
space group = Imm2 (44)
polymorph energy (0 for the lowest one) = 24.3 meV per atom

Unit cell a=6.6920 b=6.6920 c=6.6920 alpha=155.06 beta=150.32 gamma=39.15
With the nearest neighbours (Å) after each atom.
Fractional coordinates of all 4 atoms:
Co1 0.0000 0.0000 0.0000  4 As 2.35
Co2 0.8235 0.3235 0.5000  2 As 2.28
Hg1 0.1879 0.6879 0.5000  6 Co 2.78-2.82, 2 Hg 2.89
As1 0.4431 0.4431 0.0000  6 Co 2.28-2.35

Record 6
Compound: Co2HgAs
Source: the Alexandria database
Functional: PBE
Structure: optimized geometry

Results
formation energy from the elements = 1.31 eV per formula unit
space group = R3m (160)
polymorph energy (0 for the lowest one) = 164.7 meV per atom

Unit cell a=9.2496 b=9.2496 c=9.2496 alpha=18.03 beta=18.03 gamma=18.03
With the nearest neighbours (Å) after each atom.
Fractional coordinates of all 4 atoms:
Co1 0.0000 0.0000 0.0000  3 As 2.40, 3 Co 2.45
Co2 0.2678 0.2678 0.2678  3 Co 2.45
Hg1 0.5157 0.5157 0.5157  3 Co 2.87, 6 Hg 2.90
As1 0.7297 0.7297 0.7297  3 Co 2.40

Record 7
Compound: CoHg4As
Source: the Alexandria database
Functional: PBE
Structure: optimized geometry

Results
formation energy from the elements = 4.63 eV per formula unit
space group = F-43m (216)

Unit cell a=5.7587 b=5.7587 c=5.7587 alpha=60.00 beta=60.00 gamma=60.00
With the nearest neighbours (Å) after each atom.
Fractional coordinates of all 6 atoms:
Co1 0.0000 0.0000 0.0000  12 Hg 3.38, 4 As 3.53
Hg1 0.1241 0.6253 0.6253  6 Hg 2.87-2.89
Hg2 0.6253 0.1241 0.6253  6 Hg 2.87-2.89
Hg3 0.6253 0.6253 0.1241  6 Hg 2.87-2.89
Hg4 0.6253 0.6253 0.6253  6 Hg 2.87-2.89
As1 0.2500 0.2500 0.2500  12 Hg 3.38, 4 Co 3.53

Record 8
Compound: Co2HgAs
Source: the Alexandria database
Functional: PBE
Structure: optimized geometry

Results
formation energy from the elements = 1.58 eV per formula unit
space group = I-42d (122)
polymorph energy (0 for the lowest one) = 232.1 meV per atom

Unit cell a=5.4977 b=5.4977 c=5.4977 alpha=105.31 beta=105.31 gamma=118.17
With the nearest neighbours (Å) after each atom.
Fractional coordinates of all 8 atoms:
Co1 0.0726 0.6250 0.9476  2 As 2.24
Co2 0.3750 0.3226 0.4476  2 As 2.24
Co3 0.6774 0.1250 0.0524  2 As 2.24
Co4 0.8750 0.9274 0.5524  2 As 2.24
Hg1 0.2500 0.7500 0.5000  8 Co 2.71-3.00, 2 As 2.82
Hg2 0.5000 0.5000 0.0000  8 Co 2.71-3.00, 2 As 2.82
As1 0.0000 0.0000 0.0000  4 Co 2.24
As2 0.7500 0.2500 0.5000  4 Co 2.24

- Number 2 is which compound?
  Co2Hg2As